# 1
Here is a geometry-optimized FeIrOs structure from the Alexandria database. Energies are from GGA-PBE.

## Properties
Formation energy   0.025 eV per atom

Lattice parameters (Å, degrees): 2.701 3.741 4.609 113.90 106.90 90.02
Space group P1 (No. 1)
Asymmetric unit:
Fe1 0.000 0.000 0.000 (multiplicity 1)
Ir1 0.669 0.669 0.337 (multiplicity 1)
Os1 0.339 0.338 0.678 (multiplicity 1)

# 2
Here is a geometry-optimized SiRu2W structure from the Alexandria database. Energies are from GGA-PBE.

## Properties
Raw formation energy   -0.084 eV per atom

Lattice parameters (Å, degrees): 8.465 2.803 4.839 90.00 97.05 90.00
Space group C2/m (No. 12)
Asymmetric unit:
Si1 0.000 0.000 0.000 (multiplicity 2)
Ru1 0.247 0.500 0.237 (multiplicity 4)
W1 0.000 0.500 0.500 (multiplicity 2)

# 3
Here is a geometry-optimized ZnCd5 structure from the Alexandria database. Energies are from GGA-PBE.

## Properties
Formation energy   0.035 eV per atom

Lattice parameters (Å, degrees): 3.179 6.880 6.945 117.64 90.20 90.18
Space group P1 (No. 1)
Asymmetric unit:
Zn1 0.000 0.000 0.000 (multiplicity 1)
Cd1 0.496 0.666 0.009 (multiplicity 1)
Cd2 0.499 0.147 0.382 (multiplicity 1)
Cd3 0.501 0.806 0.612 (multiplicity 1)
Cd4 0.997 0.248 0.774 (multiplicity 1)
Cd5 0.999 0.462 0.259 (multiplicity 1)

# 4
Here is a geometry-optimized CaAcPm structure from the Alexandria database. Energies are from GGA-PBE.

## Properties
Formation energy   0.042 eV per atom

Lattice parameters (Å, degrees): 3.8475 3.8475 9.4179 90.00 90.00 120.00
Space group P3m1 (No. 156)
Asymmetric unit:
Ca1 0.0000 0.0000 0.0000 (multiplicity 1)
Ac1 0.6667 0.3333 0.3541 (multiplicity 1)
Pm1 0.3333 0.6667 0.6706 (multiplicity 1)

# 5
Here is a geometry-optimized SiPd4Se structure from the Alexandria database. Energies are from GGA-PBE.

## Properties
Raw formation energy   -0.137 eV per atom

Lattice parameters (Å, degrees): 7.657 7.657 7.909 90.00 90.00 90.00
Space group I4_1md (No. 109)
Asymmetric unit:
Si1 0.000 0.000 0.000 (multiplicity 4)
Pd1 0.000 0.307 0.024 (multiplicity 8)
Pd2 0.000 0.321 0.480 (multiplicity 8)
Se1 0.000 0.000 0.517 (multiplicity 4)

# 6
Here is a geometry-optimized BeC2 structure from the Alexandria database. Energies are from GGA-PBE.

## Properties
Formation energy   1.002 eV per atom

Lattice parameters (Å, degrees): 2.840 4.117 4.135 90.00 90.00 90.00
Space group Immm (No. 71)
Asymmetric unit:
Be1 0.000 0.000 0.000 (multiplicity 2)
C1 0.000 0.155 0.500 (multiplicity 4)

# 7
Here is a geometry-optimized CaPmPrSn structure from the Alexandria database. Energies are from GGA-PBE.

## Properties
Formation energy   -0.295 eV per atom

Lattice parameters (Å, degrees): 7.887 7.887 7.887 90.00 90.00 90.00
Space group F-43m (No. 216)
Asymmetric unit:
Ca1 0.000 0.000 0.000 (multiplicity 4)
Pm1 0.250 0.250 0.250 (multiplicity 4)
Pr1 0.250 0.250 0.750 (multiplicity 4)
Sn1 0.000 0.000 0.500 (multiplicity 4)

# 8
Here is a geometry-optimized SmAgTe2 structure from the Alexandria database. Energies are from GGA-PBE.

## Properties
Raw formation energy   -0.827 eV per atom

Lattice parameters (Å, degrees): 4.6204 4.6204 25.9523 90.00 90.00 120.00
Space group R-3m (No. 166, hexagonal axes)
Asymmetric unit:
Sm1 0.0000 0.0000 0.0000 (multiplicity 3)
Ag1 0.0000 0.0000 0.5000 (multiplicity 3)
Te1 0.0000 0.0000 0.3981 (multiplicity 6)

# 9
Here is a geometry-optimized Pm2ScPt3 structure from the Alexandria database. Energies are from GGA-PBE.

## Properties
Formation energy   -1.021 eV per atom

Lattice parameters (Å, degrees): 4.172 5.746 11.880 90.00 90.00 90.00
Space group Immm (No. 71)
Asymmetric unit:
Pm1 0.000 0.000 0.173 (multiplicity 4)
Sc1 0.000 0.000 0.500 (multiplicity 2)
Pt1 0.000 0.500 0.146 (multiplicity 4)
Pt2 0.000 0.500 0.500 (multiplicity 2)

# 10
Here is a geometry-optimized Ba4PuO6 structure from the Alexandria database. Energies are from GGA-PBE.

## Properties
Raw formation energy   -2.623 eV per atom

Lattice parameters (Å, degrees): 11.113 6.582 13.750 90.00 105.88 90.00
Space group Cc (No. 9)
Asymmetric unit:
Ba1 0.000 0.207 0.000 (multiplicity 4)
Ba2 0.121 0.256 0.285 (multiplicity 4)
Ba3 0.313 0.220 0.846 (multiplicity 4)
Ba4 0.394 0.255 0.162 (multiplicity 4)
Pu1 0.183 0.300 0.572 (multiplicity 4)
O1 0.044 0.165 0.442 (multiplicity 4)
O2 0.069 0.492 0.635 (multiplicity 4)
O3 0.140 0.062 0.663 (multiplicity 4)
O4 0.222 0.448 0.984 (multiplicity 4)
O5 0.360 0.160 0.334 (multiplicity 4)
O6 0.367 0.346 0.681 (multiplicity 4)

# 11
Here is a geometry-optimized NaTlCo2 structure from the Alexandria database. Energies are from GGA-PBE.

## Properties
Formation energy   0.936 eV per atom

Lattice parameters (Å, degrees): 7.463 7.463 5.377 90.00 90.00 90.00
Space group I-42d (No. 122)
Asymmetric unit:
Na1 0.000 0.000 0.000 (multiplicity 4)
Tl1 0.000 0.000 0.500 (multiplicity 4)
Co1 0.233 0.750 0.625 (multiplicity 8)

# 12
Here is a geometry-optimized Cs4PbI5 structure from the Alexandria database. Energies are from GGA-PBE.

## Properties
Raw formation energy   -1.204 eV per atom

Lattice parameters (Å, degrees): 11.932 11.932 7.901 90.00 90.00 90.00
Space group I4 (No. 79)
Asymmetric unit:
Cs1 0.092 0.705 0.000 (multiplicity 8)
Pb1 0.000 0.000 0.494 (multiplicity 2)
I1 0.000 0.000 0.989 (multiplicity 2)
I2 0.088 0.729 0.498 (multiplicity 8)

How do the records compare in density? In the order shown, they have 18.03, 12.07, 7.74, 5.67, 7.63, 2.27, 6.02, 5.33, 10.73, 6.11, 7.66, 4.05 g/cm3.